1.
Cs2LaFeBr6: relaxed, GGA-PBE.

- ΔE_f (raw) (meV per atom) = -1431

abc: 7.954 7.954 7.954
angles: 60.00 60.00 60.00
Fractional coordinates of all 10 atoms:
Cs: 0.250 0.250 0.250
Cs: 0.750 0.750 0.750
La: 0.000 0.000 0.000
Fe: 0.500 0.500 0.500
Br: 0.262 0.262 0.738
Br: 0.262 0.738 0.262
Br: 0.262 0.738 0.738
Br: 0.738 0.262 0.262
Br: 0.738 0.262 0.738
Br: 0.738 0.738 0.262

***

2.
Ru2WSe: relaxed, GGA-PBE.

- ΔE_f (raw) (meV per atom) = 489

abc: 4.400 4.400 4.400
angles: 60.00 60.00 60.00
Fractional coordinates of all 4 atoms:
Ru: 0.000 0.000 0.000
Ru: 0.250 0.250 0.250
W: 0.750 0.750 0.750
Se: 0.500 0.500 0.500

***

3.
HfZrB4: relaxed, GGA-PBE.

- formation energy (kcal/mol of atoms) = -22.07

abc: 6.000 6.000 6.000
angles: 147.88 147.88 46.07
Fractional coordinates of all 6 atoms:
Hf: 0.000 0.000 0.000
Zr: 0.750 0.250 0.500
B: 0.167 0.667 0.500
B: 0.333 0.833 0.500
B: 0.419 0.419 0.000
B: 0.581 0.581 0.000

***

4.
NaYTlSn: relaxed, GGA-PBE.

- formation energy (kcal/mol of atoms) = -7.01

abc: 5.342 5.342 5.342
angles: 60.00 60.00 60.00
Fractional coordinates of all 4 atoms:
Na: 0.000 0.000 0.000
Y: 0.500 0.500 0.500
Tl: 0.250 0.250 0.250
Sn: 0.750 0.750 0.750

***

5.
TbErCoCu: relaxed, GGA-PBE.

- E above lowest polymorph (meV per atom) = 26
- formation energy (kcal/mol of atoms) = -4.59

abc: 4.796 4.796 4.796
angles: 60.00 60.00 60.00
Fractional coordinates of all 4 atoms:
Tb: 0.000 0.000 0.000
Er: 0.500 0.500 0.500
Co: 0.750 0.750 0.750
Cu: 0.250 0.250 0.250

***

6.
Ac2MnBiS6: relaxed, GGA-PBE.

- ΔE_f (raw) (meV per atom) = -1139

abc: 6.688 6.688 6.161
angles: 90.00 90.00 90.00
Fractional coordinates of all 10 atoms:
Ac: 0.000 0.500 0.000
Ac: 0.500 0.000 0.000
Mn: 0.000 0.000 0.582
Bi: 0.500 0.500 0.547
S: 0.000 0.000 0.196
S: 0.234 0.234 0.707
S: 0.234 0.766 0.707
S: 0.500 0.500 0.119
S: 0.766 0.234 0.707
S: 0.766 0.766 0.707

***

7.
Th3BiPb: relaxed, GGA-PBE.

- formation energy (kcal/mol of atoms) = -3.41

abc: 6.094 7.669 8.563
angles: 69.00 69.58 71.37
Fractional coordinates of all 10 atoms:
Th: 0.024 0.497 0.201
Th: 0.339 0.811 0.827
Th: 0.375 0.662 0.308
Th: 0.625 0.338 0.692
Th: 0.661 0.189 0.173
Th: 0.976 0.503 0.799
Bi: 0.251 0.228 0.538
Bi: 0.749 0.772 0.462
Pb: 0.235 0.110 0.066
Pb: 0.765 0.890 0.934

***

8.
Np3Au: relaxed, GGA-PBE.

- E above lowest polymorph (meV per atom) = 0
- formation energy (kcal/mol of atoms) = 7.12

abc: 2.702 3.974 7.565
angles: 90.00 90.00 90.00
Fractional coordinates of all 4 atoms:
Np: 0.000 0.000 0.000
Np: 0.000 0.500 0.191
Np: 0.500 0.000 0.431
Au: 0.500 0.500 0.729

***

9.
Y5GaRu2: relaxed, GGA-PBE.

- formation energy (kcal/mol of atoms) = -9.29

abc: 8.659 8.659 8.659
angles: 127.61 127.61 77.26
Fractional coordinates of all 16 atoms:
Y: 0.000 0.000 0.000
Y: 0.027 0.527 0.828
Y: 0.198 0.027 0.500
Y: 0.302 0.802 0.828
Y: 0.473 0.302 0.500
Y: 0.500 0.500 0.000
Y: 0.527 0.698 0.500
Y: 0.698 0.198 0.172
Y: 0.802 0.973 0.500
Y: 0.973 0.473 0.172
Ga: 0.250 0.250 0.000
Ga: 0.750 0.750 0.000
Ru: 0.136 0.364 0.500
Ru: 0.364 0.864 0.227
Ru: 0.636 0.136 0.773
Ru: 0.864 0.636 0.500

***

10.
Nb3GaPd: relaxed, GGA-PBE.

- E above lowest polymorph (meV per atom) = 104
- formation energy (kcal/mol of atoms) = 27.13

abc: 4.843 4.843 4.843
angles: 90.00 90.00 90.00
Fractional coordinates of all 5 atoms:
Nb: 0.000 0.000 0.500
Nb: 0.000 0.500 0.000
Nb: 0.500 0.000 0.000
Ga: 0.500 0.500 0.500
Pd: 0.000 0.000 0.000

***

11.
Na2ZrAlTe5: relaxed, GGA-PBE.

- ΔE_f (raw) (meV per atom) = -692

abc: 10.145 10.145 15.046
angles: 90.00 90.00 157.80
Fractional coordinates of all 18 atoms:
Na: 0.109 0.891 0.500
Na: 0.117 0.883 0.161
Na: 0.883 0.117 0.661
Na: 0.891 0.109 0.000
Zr: 0.220 0.780 0.877
Zr: 0.780 0.220 0.377
Al: 0.425 0.575 0.259
Al: 0.575 0.425 0.759
Te: 0.063 0.937 0.875
Te: 0.285 0.715 0.516
Te: 0.294 0.706 0.228
Te: 0.359 0.641 0.836
Te: 0.491 0.509 0.110
Te: 0.509 0.491 0.610
Te: 0.641 0.359 0.336
Te: 0.706 0.294 0.728
Te: 0.715 0.285 0.016
Te: 0.937 0.063 0.375

***

12.
IrRuS2N: relaxed, GGA-PBE.

- ΔE_f (raw) (meV per atom) = 991
- E above lowest polymorph (meV per atom) = 0

abc: 4.831 4.831 3.617
angles: 90.00 90.00 90.00
Fractional coordinates of all 5 atoms:
Ir: 0.000 0.000 0.000
Ru: 0.500 0.500 0.500
S: 0.000 0.500 0.000
S: 0.500 0.000 0.000
N: 0.000 0.000 0.500

***

13.
YAs2Pt: relaxed, GGA-PBE.

- formation energy (kcal/mol of atoms) = -15.59

abc: 5.002 5.002 5.002
angles: 132.08 110.83 88.52
Fractional coordinates of all 4 atoms:
Y: 0.000 0.000 0.000
As: 0.296 0.796 0.500
As: 0.704 0.204 0.500
Pt: 0.500 0.500 0.000

***

14.
HoSn3: relaxed, GGA-PBE.

- formation energy (kcal/mol of atoms) = -9.31

abc: 4.706 4.706 4.706
angles: 90.00 90.00 90.00
Fractional coordinates of all 4 atoms:
Ho: 0.000 0.000 0.000
Sn: 0.000 0.500 0.500
Sn: 0.500 0.000 0.500
Sn: 0.500 0.500 0.000

***

15.
Ac6ZnAg3: relaxed, GGA-PBE.

- formation energy (kcal/mol of atoms) = -3.48

abc: 10.718 5.178 13.265
angles: 90.00 111.45 90.00
Fractional coordinates of all 20 atoms:
Ac: 0.019 0.250 0.122
Ac: 0.146 0.250 0.729
Ac: 0.208 0.750 0.543
Ac: 0.330 0.750 0.142
Ac: 0.385 0.250 0.387
Ac: 0.414 0.750 0.875
Ac: 0.586 0.250 0.125
Ac: 0.615 0.750 0.613
Ac: 0.670 0.250 0.858
Ac: 0.792 0.250 0.457
Ac: 0.854 0.750 0.271
Ac: 0.981 0.750 0.878
Zn: 0.402 0.250 0.652
Zn: 0.598 0.750 0.348
Ag: 0.063 0.250 0.381
Ag: 0.163 0.750 0.293
Ag: 0.242 0.250 0.984
Ag: 0.758 0.750 0.016
Ag: 0.837 0.250 0.707
Ag: 0.937 0.750 0.619

***

16.
ZrVOs: relaxed, GGA-PBE.

- E above lowest polymorph (meV per atom) = 205
- formation energy (kcal/mol of atoms) = -5.58

abc: 5.523 5.523 5.523
angles: 147.15 147.15 47.14
Fractional coordinates of all 3 atoms:
Zr: 0.000 0.000 0.000
V: 0.681 0.681 0.000
Os: 0.320 0.320 0.000

***

17.
NbBiBr2: relaxed, GGA-PBE.

- ΔE_f (raw) (meV per atom) = -303
- E above lowest polymorph (meV per atom) = 0

abc: 12.213 12.213 12.213
angles: 15.77 15.77 15.77
Fractional coordinates of all 4 atoms:
Nb: 0.000 0.000 0.000
Bi: 0.500 0.500 0.500
Br: 0.385 0.385 0.385
Br: 0.615 0.615 0.615

***

18.
LiCrTc: relaxed, GGA-PBE.

- E above lowest polymorph (meV per atom) = 14
- formation energy (kcal/mol of atoms) = 4.55

abc: 4.871 4.871 4.924
angles: 119.73 119.73 51.23
Fractional coordinates of all 6 atoms:
Li: 0.006 0.006 0.257
Li: 0.994 0.994 0.743
Cr: 0.333 0.333 0.771
Cr: 0.667 0.667 0.229
Tc: 0.330 0.330 0.261
Tc: 0.670 0.670 0.739

***

19.
Zn2Cu3Au6: relaxed, GGA-PBE.

- E above lowest polymorph (meV per atom) = 150
- formation energy (kcal/mol of atoms) = 1.43

abc: 12.820 12.820 12.820
angles: 162.29 162.29 25.15
Fractional coordinates of all 11 atoms:
Zn: 0.148 0.148 0.000
Zn: 0.852 0.852 0.000
Cu: 0.354 0.354 0.000
Cu: 0.500 0.500 0.000
Cu: 0.646 0.646 0.000
Au: 0.071 0.571 0.500
Au: 0.251 0.251 0.000
Au: 0.429 0.929 0.500
Au: 0.571 0.071 0.500
Au: 0.749 0.749 0.000
Au: 0.929 0.429 0.500